1.
CeV2F8 | the Alexandria database | PBE+U | relaxed; symmetry = C2/m (12); crystal system = monoclinic; theoretical density = 4.01 Mg/m³; polymorph energy (0 for the lowest one) = 0.0541 eV/atom; calculated total energy = -6.353 eV per atom
1.0
4.4304 -3.3681 0.0000
4.4304 3.3681 0.0000
-1.2458 0.0000 5.4639
Ce V F
1 2 8
Cartesian
0.0000 0.0000 0.0000
2.1396 0.0000 2.9085
5.4755 0.0000 2.5554
2.2324 2.0685 3.7574
0.6161 0.0000 4.2767
5.3826 2.0685 1.7065
3.6133 0.0000 1.4962
4.0018 0.0000 3.9677
2.2324 -2.0685 3.7574
6.9989 0.0000 1.1872
5.3826 -2.0685 1.7065

=====

2.
CeV2F8 | the Alexandria database | PBE+U | relaxed; symmetry = C2/m (12); crystal system = monoclinic; theoretical density = 3.96 Mg/m³; polymorph energy (0 for the lowest one) = 0.0000 eV/atom; calculated total energy = -6.407 eV per atom
1.0
5.1174 -3.7519 0.0000
5.1174 3.7519 0.0000
-0.2006 0.0000 4.2970
Ce V F
1 2 8
Cartesian
0.0000 0.0000 0.0000
3.7634 0.0000 3.1748
6.2708 0.0000 1.1222
3.9212 2.0280 3.2183
1.7484 0.0000 3.1673
6.1129 2.0280 1.0787
4.1619 0.0000 1.0431
5.8722 0.0000 3.2539
3.9212 -2.0280 3.2183
8.2857 0.0000 1.1297
6.1129 -2.0280 1.0787

=====

3.
Ce2VF11 | the Alexandria database | PBE+U | relaxed; symmetry = Ibam (72); crystal system = orthorhombic; theoretical density = 3.93 Mg/m³; calculated total energy = -6.226 eV per atom
1.0
-4.2379 5.0610 5.3254
4.2379 -5.0610 5.3254
4.2379 5.0610 -5.3254
Ce V F
4 2 22
Cartesian
1.1820 1.9235 0.0000
5.4199 3.1375 0.0000
-1.1820 1.9235 5.3254
3.0559 3.1375 5.3254
4.2379 0.0000 2.6627
0.0000 5.0610 2.6627
0.0000 0.0000 0.0000
3.5450 -1.3542 1.4496
6.3142 -0.9609 1.6137
3.1509 -2.8874 5.3254
4.9308 -1.3542 3.8757
2.1616 0.9609 1.6137
2.1616 -0.9609 3.7117
4.9308 1.3542 1.4496
3.1509 2.8874 0.0000
2.0763 6.0219 -1.6137
3.5450 1.3542 3.8757
0.0000 0.0000 5.3254
0.6929 3.7069 1.4496
2.1616 -0.9609 6.9390
1.0870 2.1736 5.3254
-0.6929 3.7069 3.8757
2.0763 6.0219 1.6137
2.0763 4.1001 3.7117
-0.6929 6.4152 1.4496
1.0870 7.9484 0.0000
-2.0763 6.0219 3.7117
0.6929 6.4152 3.8757